# Cs2CrO4

An optimized crystal structure of Cs2CrO4 (PBE with a Hubbard U, the Alexandria database).

Output
DOS(E_F) = 0.00 states/eV per cell
DFT total energy = -163.852 eV for the cell shown
ρ = 4.0 g cm⁻³

Unit cell a=8.574 b=6.427 c=11.439 alpha=90.00 beta=90.00 gamma=90.00
Space group Pnma (No. 62)
Unique sites:
Cs  0.010  0.250  0.197 (multiplicity 4)
Cs  0.170  0.750  0.414 (multiplicity 4)
Cr  0.232  0.750  0.080 (multiplicity 4)
O  0.038  0.750  0.083 (multiplicity 4)
O  0.201  0.037  0.647 (multiplicity 8)
O  0.206  0.250  0.441 (multiplicity 4)